# 1
# meta-GGA SCAN Rb2ZrF6, single point on PBEsol structure
# DOS at the Fermi energy in states/eV per cell: 0.00
# Uncorrected energy in eV per atom: -14.016
# ΔE_f (raw) in eV/atom: -3.6360
# Magnetic moment in μB per cell: 0.1
data_Rb2ZrF6
_symmetry_space_group_name_H-M 'P -3 m 1'
_symmetry_Int_Tables_number 164
_symmetry_space_group_name_Hall '-P 3 2"'
_cell_length_a 6.0943
_cell_length_b 6.0943
_cell_length_c 4.7719
_cell_angle_alpha 90.00
_cell_angle_beta 90.00
_cell_angle_gamma 120.00
loop_
_atom_site_label
_atom_site_fract_x
_atom_site_fract_y
_atom_site_fract_z
Rb1 0.3333 0.6667 0.1949
Zr1 0.0000 0.0000 0.5000
F1 0.1597 0.3193 0.7310

=====

# 2
# meta-GGA SCAN MnMoP, single point on PBEsol structure
# DOS at the Fermi energy in states/eV per cell: 7.13
# Uncorrected energy in eV per atom: -21.517
# Magnetic moment in μB per cell: 14.2
data_MnMoP
_symmetry_space_group_name_H-M 'F -4 3 m'
_symmetry_Int_Tables_number 216
_symmetry_space_group_name_Hall 'F -4 2 3'
_cell_length_a 5.553
_cell_length_b 5.553
_cell_length_c 5.553
_cell_angle_alpha 90.00
_cell_angle_beta 90.00
_cell_angle_gamma 90.00
loop_
_atom_site_label
_atom_site_fract_x
_atom_site_fract_y
_atom_site_fract_z
Mn1 0.000 0.000 0.000
Mo1 0.000 0.000 0.500
P1 0.250 0.250 0.250